1.
Here is a relaxed BaAsPt3 crystal from the Alexandria database. Energies are from GGA-PBE.

```
BaAsPt3
1.0
4.8772 0.0000 0.0000
0.0000 4.8772 0.0000
0.0000 0.0000 4.8772
Ba As Pt
1 1 3
direct
0.0000 0.0000 0.0000
0.5000 0.5000 0.5000
0.0000 0.5000 0.5000
0.5000 0.0000 0.5000
0.5000 0.5000 0.0000
```

Results
energy above the most stable polymorph in this dataset	282	meV/atom
SG	Pm-3m, No. 221
calculated formation energy	-354	meV per atom

---

2.
Here is a relaxed BaAs2Pt5 crystal from the Alexandria database. Energies are from GGA-PBE.

```
BaAs2Pt5
1.0
-2.1417 3.6113 4.9654
2.1417 -3.6113 4.9654
2.1417 3.6113 -4.9654
Ba As Pt
1 2 5
direct
0.0000 0.0000 0.0000
0.2538 0.7538 0.5000
0.7462 0.2462 0.5000
0.1587 0.3523 0.8064
0.4541 0.6477 0.8064
0.5000 0.0000 0.5000
0.5459 0.3523 0.1936
0.8413 0.6477 0.1936
```

Results
SG	Immm, No. 71
calculated formation energy	-464	meV per atom

---

3.
Here is a relaxed Ba3As4Pt2 crystal from the Alexandria database. Energies are from GGA-PBE.

```
Ba3As4Pt2
1.0
6.1489 -2.2760 0.0000
6.1489 2.2760 0.0000
-3.1027 0.0000 8.5561
Ba As Pt
3 4 2
direct
0.0000 0.0000 0.0000
0.3878 0.3878 0.3187
0.6122 0.6122 0.6813
0.1337 0.1337 0.4037
0.2790 0.2790 0.9300
0.7210 0.7210 0.0700
0.8663 0.8663 0.5963
0.3169 0.3169 0.6700
0.6831 0.6831 0.3300
```

Results
energy above the most stable polymorph in this dataset	70	meV/atom
SG	C2/m, No. 12
calculated formation energy	-872	meV per atom

---

4.
Here is a relaxed Ba6As2Pt crystal from the Alexandria database. Energies are from GGA-PBE.

```
Ba6As2Pt
1.0
10.4097 -2.3699 0.0000
10.4097 2.3699 0.0000
-2.2947 0.0000 9.3454
Ba As Pt
6 2 1
direct
0.0062 0.0062 0.2297
0.3278 0.3278 0.4292
0.3440 0.3440 0.9004
0.6560 0.6560 0.0996
0.6722 0.6722 0.5708
0.9938 0.9938 0.7703
0.1667 0.1667 0.3368
0.8333 0.8333 0.6632
0.5000 0.5000 0.0000
```

Results
SG	C2/m, No. 12
calculated formation energy	-777	meV per atom

---

5.
Here is a relaxed Ba2AsPt2 crystal from the Alexandria database. Energies are from GGA-PBE.

```
Ba2AsPt2
1.0
7.5922 0.0000 0.0000
0.0000 7.5922 0.0000
0.0000 0.0000 4.6913
Ba As Pt
4 2 4
direct
0.1834 0.3166 0.0000
0.3166 0.8166 0.0000
0.6834 0.1834 0.0000
0.8166 0.6834 0.0000
0.0000 0.0000 0.5000
0.5000 0.5000 0.5000
0.1249 0.6249 0.5000
0.3751 0.1249 0.5000
0.6249 0.8751 0.5000
0.8751 0.3751 0.5000
```

Results
SG	P4/mbm, No. 127
calculated formation energy	-597	meV per atom

---

6.
Here is a relaxed Ba12AsPt5 crystal from the Alexandria database. Energies are from GGA-PBE.

```
Ba12AsPt5
1.0
3.9993 -7.0762 0.0000
3.9993 7.0762 0.0000
-0.0438 0.0000 15.2331
Ba As Pt
12 1 5
direct
0.0031 0.6695 0.6102
0.1595 0.1595 0.1135
0.1636 0.5022 0.8875
0.3305 0.9969 0.3898
0.3355 0.3355 0.6095
0.4978 0.8364 0.1125
0.5022 0.1636 0.8875
0.6645 0.6645 0.3905
0.6695 0.0031 0.6102
0.8364 0.4978 0.1125
0.8405 0.8405 0.8865
0.9969 0.3305 0.3898
0.5000 0.5000 0.0000
0.0000 0.0000 0.5000
0.1664 0.8336 0.0000
0.3329 0.6671 0.5000
0.6671 0.3329 0.5000
0.8336 0.1664 0.0000
```

Results
SG	C2/m, No. 12
calculated formation energy	-649	meV per atom

---

7.
Here is a relaxed BaAsPt crystal from the Alexandria database. Energies are from GGA-PBE.

```
BaAsPt
1.0
0.0000 3.4969 3.4969
3.4969 0.0000 3.4969
3.4969 3.4969 0.0000
Ba As Pt
1 1 1
direct
0.0000 0.0000 0.0000
0.2500 0.2500 0.2500
0.5000 0.5000 0.5000
```

Results
SG	F-43m, No. 216
calculated formation energy	-259	meV per atom

---

8.
Here is a relaxed BaAs4Pt5 crystal from the Alexandria database. Energies are from GGA-PBE.

```
BaAs4Pt5
1.0
7.4401 0.0000 0.0000
0.0000 12.2602 0.0000
0.0000 0.0000 4.4717
Ba As Pt
2 8 10
direct
0.2500 0.2500 0.0518
0.7500 0.7500 0.9482
0.0672 0.7500 0.4829
0.2500 0.5272 0.7646
0.2500 0.9728 0.7646
0.4328 0.7500 0.4829
0.5672 0.2500 0.5171
0.7500 0.0272 0.2354
0.7500 0.4728 0.2354
0.9328 0.2500 0.5171
0.0504 0.5657 0.2465
0.0504 0.9343 0.2465
0.2500 0.7500 0.9867
0.4496 0.5657 0.2465
0.4496 0.9343 0.2465
0.5504 0.0657 0.7535
0.5504 0.4343 0.7535
0.7500 0.2500 0.0133
0.9496 0.0657 0.7535
0.9496 0.4343 0.7535
```

Results
SG	Pmmn, No. 59
calculated formation energy	-446	meV per atom

---

9.
Here is a relaxed Ba8AsPt3 crystal from the Alexandria database. Energies are from GGA-PBE.

```
Ba8AsPt3
1.0
7.9816 -4.7167 0.0000
7.9816 4.7167 0.0000
-5.2277 0.0000 7.6815
Ba As Pt
8 1 3
direct
0.2348 0.7441 0.7572
0.2431 0.2431 0.2582
0.2559 0.2559 0.7336
0.2559 0.7652 0.2428
0.7441 0.2348 0.7572
0.7441 0.7441 0.2664
0.7569 0.7569 0.7418
0.7652 0.2559 0.2428
0.5000 0.5000 0.0000
0.0000 0.0000 0.0000
0.0000 0.5000 0.5000
0.5000 0.0000 0.5000
```

Results
SG	C2/m, No. 12
calculated formation energy	-667	meV per atom

---

10.
Here is a relaxed BaAs4Pt crystal from the Alexandria database. Energies are from GGA-PBE.

```
BaAs4Pt
1.0
0.0000 4.1857 4.1857
4.1857 0.0000 4.1857
4.1857 4.1857 0.0000
Ba As Pt
1 4 1
direct
0.0000 0.0000 0.0000
0.3930 0.3930 0.3930
0.3930 0.3930 0.8210
0.3930 0.8210 0.3930
0.8210 0.3930 0.3930
0.7500 0.7500 0.7500
```

Results
SG	F-43m, No. 216
calculated formation energy	0	meV per atom

---

11.
Here is a relaxed BaAsPt crystal from the Alexandria database. Energies are from GGA-PBE.

```
BaAsPt
1.0
6.8216 0.0000 0.0000
0.0000 6.8216 0.0000
0.0000 0.0000 6.8216
Ba As Pt
4 4 4
direct
0.1103 0.1103 0.1103
0.3897 0.8897 0.6103
0.6103 0.3897 0.8897
0.8897 0.6103 0.3897
0.1714 0.3286 0.6714
0.3286 0.6714 0.1714
0.6714 0.1714 0.3286
0.8286 0.8286 0.8286
0.0957 0.5957 0.9043
0.4043 0.4043 0.4043
0.5957 0.9043 0.0957
0.9043 0.0957 0.5957
```

Results
SG	P2_13, No. 198
calculated formation energy	-1006	meV per atom

---

12.
Here is a relaxed BaAsPt3 crystal from the Alexandria database. Energies are from GGA-PBE.

```
BaAsPt3
1.0
3.2170 -5.4176 0.0000
3.2170 5.4176 0.0000
0.0000 0.0000 6.0180
Ba As Pt
2 2 6
direct
0.2411 0.7589 0.7500
0.7589 0.2411 0.2500
0.0918 0.9082 0.2500
0.9082 0.0918 0.7500
0.2829 0.2829 0.0000
0.2829 0.2829 0.5000
0.3174 0.6826 0.2500
0.6826 0.3174 0.7500
0.7171 0.7171 0.0000
0.7171 0.7171 0.5000
```

Results
energy above the most stable polymorph in this dataset	0	meV/atom
SG	Cmcm, No. 63
calculated formation energy	-636	meV per atom